Density functional theory data (PBE with a Hubbard U) for a relaxed structure of MgFe2O4.

## Properties
- Energy above the lowest structure with this stoichiometry: 0.3396 eV per atom
- Total magnetic moment: 0.1437 μB/atom

Geometry as CIF:
```
data_MgFe2O4
_space_group_name_H-M_alt 'C 1 m 1'
_space_group_IT_number 8
_cell_length_a 10.2367
_cell_length_b 5.8762
_cell_length_c 14.3515
_cell_angle_alpha 90.00
_cell_angle_beta 90.37
_cell_angle_gamma 90.00
loop_
_space_group_symop_operation_xyz
'x,y,z'
'x,-y,z'
'x+1/2,y+1/2,z'
'x+1/2,-y+1/2,z'
loop_
_atom_site_label
_atom_site_type_symbol
_atom_site_fract_x
_atom_site_fract_y
_atom_site_fract_z
_atom_site_occupancy
Mg1 Mg 0.0000 0.0000 0.0000 1
Mg2 Mg 0.9998 0.0000 0.2476 1
Mg3 Mg 0.0024 0.0000 0.6191 1
Mg4 Mg 0.1669 0.5000 0.5759 1
Mg5 Mg 0.1679 0.5000 0.3342 1
Mg6 Mg 0.3305 0.0000 0.9170 1
Fe1 Fe 0.0828 0.2528 0.7910 1
Fe2 Fe 0.1640 0.5000 0.9597 1
Fe3 Fe 0.1671 0.0000 0.4552 1
Fe4 Fe 0.2493 0.2501 0.1246 1
Fe5 Fe 0.3304 0.5000 0.7914 1
Fe6 Fe 0.3329 0.0000 0.6640 1
Fe7 Fe 0.3336 0.0000 0.2901 1
Fe8 Fe 0.4186 0.2516 0.4554 1
Fe9 Fe 0.4992 0.0000 0.1249 1
O1 O 0.0009 0.0000 0.3840 1
O2 O 0.0018 0.0000 0.8612 1
O3 O 0.0143 0.5000 0.8711 1
O4 O 0.0785 0.2295 0.5281 1
O5 O 0.0899 0.2756 0.0465 1
O6 O 0.1584 0.0000 0.7162 1
O7 O 0.1625 0.5000 0.7173 1
O8 O 0.1665 0.5000 0.1949 1
O9 O 0.1830 0.0000 0.2032 1
O10 O 0.2373 0.2730 0.8727 1
O11 O 0.2601 0.2226 0.3779 1
O12 O 0.3156 0.5000 0.0444 1
O13 O 0.3326 0.0000 0.0545 1
O14 O 0.3364 0.0000 0.5325 1
O15 O 0.3473 0.5000 0.5293 1
O16 O 0.4081 0.2249 0.2021 1
O17 O 0.4230 0.2579 0.7118 1
O18 O 0.4838 0.0000 0.3763 1
```